Computed, not measured: a geometry-optimized Pm3Nd5Er structure at the PBE-GGA level of DFT.

## Properties
For the total energy, the calculation gives -75.39 eV for the cell shown.

Lattice parameters (Å, degrees): 8.1521 8.1521 11.7635 107.82 107.82 89.75
Last column: nearest neighbours and their distance in Å.
Fractional positions:
Pm (0.0000, 0.0000, 0.0000)  4 Nd 2.93-3.21, 2 Er 3.02
Pm (0.0000, 0.0000, 0.5000)  2 Er 3.16, 4 Nd 3.49
Pm (0.2081, 0.2081, 0.3479)  1 Er 3.13, 3 Nd 3.23-3.31
Pm (0.3800, 0.3800, 0.8434)  1 Er 3.13, 5 Nd 3.23-3.42
Pm (0.6200, 0.6200, 0.1566)  1 Er 3.13, 5 Nd 3.23-3.42
Pm (0.7919, 0.7919, 0.6521)  1 Er 3.13, 3 Nd 3.23-3.31
Nd (0.0344, 0.5656, 0.3516)  3 Pm 3.23-3.57
Nd (0.2546, 0.7454, 0.0000)  1 Pm 2.93
Nd (0.3050, 0.3050, 0.0945)  3 Pm 3.21-3.42, 1 Nd 3.25, 1 Er 3.32
Nd (0.4344, 0.9656, 0.6484)  3 Pm 3.23-3.57
Nd (0.4699, 0.4699, 0.6189)  2 Nd 3.16-3.25, 2 Pm 3.23-3.31
Nd (0.5301, 0.5301, 0.3811)  2 Nd 3.16-3.25, 2 Pm 3.23-3.31
Nd (0.5656, 0.0344, 0.3516)  3 Pm 3.23-3.57
Nd (0.6950, 0.6950, 0.9055)  3 Pm 3.21-3.42, 1 Nd 3.25, 1 Er 3.32
Nd (0.7454, 0.2546, 0.0000)  1 Pm 2.93
Nd (0.9656, 0.4344, 0.6484)  3 Pm 3.23-3.57
Er (0.0914, 0.0914, 0.7950)  4 Pm 3.02-3.16, 1 Nd 3.32
Er (0.9086, 0.9086, 0.2050)  4 Pm 3.02-3.16, 1 Nd 3.32